DFT (PBE) results for crystalline ScHg2Ge2 at its relaxed geometry.

The energy relative to the elements comes out at 8.0 kJ per mole of atoms. The energy above the most stable polymorph in this dataset comes out at 0.115 eV per atom. As for the crystal system: tetragonal. As for the density: 8.93 Mg/m³.

a b c (Å): 7.8612 7.8612 3.5600
angles (deg): 90.00 90.00 90.00
With the nearest neighbours (Å) after each atom.
Space group P4/mbm (No. 127)
Symmetry-distinct sites (fractional):
Sc (0.0000, 0.0000, 0.0000) [2 per cell]  4 Hg 3.09, 8 Ge 3.40
Hg (0.1294, 0.3706, 0.0000) [4 per cell]  6 Ge 2.79-3.02, 1 Hg 2.88, 2 Sc 3.09
Ge (0.1778, 0.6778, 0.5000) [4 per cell]  6 Hg 2.79-3.02

DFT (PBE) results for crystalline Sc2HgGe2 at its relaxed geometry.

The energy relative to the elements comes out at -55.1 kJ per mole of atoms. The energy above the most stable polymorph in this dataset comes out at 0.000 eV per atom. As for the crystal system: tetragonal. As for the density: 7.32 Mg/m³.

a b c (Å): 7.1058 7.1058 3.9157
angles (deg): 90.00 90.00 90.00
With the nearest neighbours (Å) after each atom.
Space group P4/mbm (No. 127)
Symmetry-distinct sites (fractional):
Sc (0.1773, 0.3227, 0.0000) [4 per cell]  6 Ge 2.80-2.92
Hg (0.0000, 0.0000, 0.5000) [2 per cell]  4 Ge 2.82
Ge (0.1235, 0.6235, 0.5000) [4 per cell]  1 Ge 2.48